1.
A plane-wave DFT calculation with PBE was carried out for HoVN3 after structural relaxation.

Values from the calculation:
ΔE_f (raw): -849 meV/atom
Total energy: -8.5833 eV/atom
Magnetic moment: 0.00 μB per formula unit

Cell: 5.5367 3.5761 7.8333 Å, 90.00 110.17 90.00°
Space group P2_1/m (No. 11)
Asymmetric unit:
Ho 0.2347 0.2500 0.1878 x2
V 0.1554 0.2500 0.6726 x2
N 0.0086 0.7500 0.6172 x2
N 0.0774 0.2500 0.8797 x2
N 0.4849 0.2500 0.7320 x2

2.
A plane-wave DFT calculation with PBE was carried out for ZrTl2Br6 after structural relaxation.

Values from the calculation:
Distance to the lowest polymorph of the same formula: 0 meV per atom
ΔE_f (raw): -1191 meV/atom
Total energy: -3.7818 eV/atom
Magnetic moment: 0.00 μB per formula unit

Cell: 7.5474 8.2512 12.7986 Å, 90.00 124.67 90.00°
Space group P2_1/c (No. 14)
Asymmetric unit:
Zr 0.0000 0.0000 0.0000 x2
Tl 0.2738 0.0883 0.7532 x4
Br 0.1578 0.0180 0.2452 x4
Br 0.2185 0.7272 0.0426 x4
Br 0.3320 0.1739 0.0416 x4

3.
A plane-wave DFT calculation with PBE was carried out for CaAc2Th after structural relaxation.

Values from the calculation:
ΔH_f (0 K): 0.2237 eV/atom
Distance to the lowest polymorph of the same formula: 150 meV per atom
Total energy: -4.1858 eV/atom
Magnetic moment: 0.89 μB per formula unit

Cell: 8.6348 8.6348 8.6348 Å, 90.00 90.00 90.00°
Space group Fm-3m (No. 225)
Asymmetric unit:
Ca 0.0000 0.0000 0.0000 x4
Ac 0.2500 0.2500 0.2500 x8
Th 0.0000 0.0000 0.5000 x4